Below is a geometry-optimized Li3NpNi4O8 structure, with properties calculated at the PBE with a Hubbard U level.

```
data_Li3NpNi4O8
_chemical_formula_sum 'Li3 Np1 Ni4 O8'
_cell_length_a 6.048
_cell_length_b 6.048
_cell_length_c 6.048
_cell_angle_alpha 60.16
_cell_angle_beta 60.16
_cell_angle_gamma 60.16
_space_group_name_H-M_alt 'P 1'
_space_group_IT_number 1
loop_
_space_group_symop_operation_xyz
'x,y,z'
loop_
_atom_site_label
_atom_site_type_symbol
_atom_site_fract_x
_atom_site_fract_y
_atom_site_fract_z
Li1 Li 0.000 0.500 0.500
Li2 Li 0.500 0.000 0.500
Li3 Li 0.500 0.500 0.000
Np1 Np 0.000 0.000 0.000
Ni1 Ni 0.000 0.000 0.500
Ni2 Ni 0.000 0.500 0.000
Ni3 Ni 0.500 0.000 0.000
Ni4 Ni 0.500 0.500 0.500
O1 O 0.240 0.240 0.240
O2 O 0.251 0.251 0.749
O3 O 0.251 0.749 0.251
O4 O 0.251 0.749 0.749
O5 O 0.749 0.251 0.251
O6 O 0.749 0.251 0.749
O7 O 0.749 0.749 0.251
O8 O 0.760 0.760 0.760
```

Spin magnetization (Bohr magnetons per cell): 6.0
Energy (eV/atom): -5.987
DOS(E_F) (states/eV per cell): 7.91
Volume (Å³/atom): 9.8